# PaMn2TcO8 (PBE+U, optimized geometry)
# Spin magnetization (μB/cell): 0.07
# Density of states at the Fermi level (states/eV/cell): 2.50
# DFT total energy (eV per atom): -8.0243
data_PaMn2TcO8
_chemical_formula_sum 'Pa2 Mn4 Tc2 O16'
_cell_length_a 6.6213
_cell_length_b 6.6213
_cell_length_c 7.1879
_cell_angle_alpha 90.00
_cell_angle_beta 90.00
_cell_angle_gamma 90.00
_space_group_name_H-M_alt 'I -4 m 2'
_space_group_IT_number 119
_space_group_name_Hall 'I -4 -2'
loop_
_atom_site_label
_atom_site_fract_x
_atom_site_fract_y
_atom_site_fract_z
Pa1 0.0000 0.0000 0.0000
Mn1 0.0000 0.0000 0.5000
Mn2 0.0000 0.5000 0.2500
Tc1 0.0000 0.5000 0.7500
O1 0.0000 0.2265 0.6850
O2 0.0000 0.3133 0.0320